# La2CrPdC

An optimized crystal structure of La2CrPdC (PBE, Alexandria).

```
data_La2CrPdC
_chemical_formula_sum 'La2 Cr1 Pd1 C1'
_cell_length_a 5.2805
_cell_length_b 5.2805
_cell_length_c 3.8052
_cell_angle_alpha 90.00
_cell_angle_beta 90.00
_cell_angle_gamma 90.00
_symmetry_space_group_name_H-M 'P 4/m m m'
_symmetry_Int_Tables_number 123
_symmetry_space_group_name_Hall '-P 4 2'
loop_
_atom_site_label
_atom_site_type_symbol
_atom_site_fract_x
_atom_site_fract_y
_atom_site_fract_z
La1 La 0.0000 0.5000 0.0000
Cr1 Cr 0.0000 0.0000 0.5000
Pd1 Pd 0.5000 0.5000 0.5000
C1 C 0.0000 0.0000 0.0000
```

Summary:
calculated total energy: -35.1 eV for the cell shown
crystal system: tetragonal
calculated volume: 21.2 Å³/atom
E_form: -0.23 eV/atom

# PmNb4N6

An optimized crystal structure of PmNb4N6 (PBE, Alexandria).

```
data_PmNb4N6
_chemical_formula_sum 'Pm4 Nb16 N24'
_cell_length_a 3.1729
_cell_length_b 10.3728
_cell_length_c 15.8504
_cell_angle_alpha 90.00
_cell_angle_beta 90.00
_cell_angle_gamma 90.00
_symmetry_space_group_name_H-M 'C m c m'
_symmetry_Int_Tables_number 63
_symmetry_space_group_name_Hall '-C 2c 2'
loop_
_atom_site_label
_atom_site_type_symbol
_atom_site_fract_x
_atom_site_fract_y
_atom_site_fract_z
Pm1 Pm 0.0000 0.1538 0.2500
Nb1 Nb 0.0000 0.1020 0.6295
Nb2 Nb 0.0000 0.3538 0.5420
N1 N 0.0000 0.0000 0.0000
N2 N 0.0000 0.1640 0.7500
N3 N 0.0000 0.2639 0.0928
N4 N 0.0000 0.4651 0.6562
```

Summary:
calculated total energy: -427.5 eV for the cell shown
crystal system: orthorhombic
energy relative to the elements, uncorrected: -1080 meV per atom
calculated volume: 11.9 Å³/atom

# Sb2RhAu

An optimized crystal structure of Sb2RhAu (PBE, Alexandria).

```
data_Sb2RhAu
_chemical_formula_sum 'Sb2 Rh1 Au1'
_cell_length_a 4.3170
_cell_length_b 3.5962
_cell_length_c 5.6507
_cell_angle_alpha 90.00
_cell_angle_beta 104.71
_cell_angle_gamma 90.00
_symmetry_space_group_name_H-M 'P 1 2/m 1'
_symmetry_Int_Tables_number 10
loop_
_symmetry_equiv_pos_as_xyz
'x,y,z'
'-x,-y,-z'
'-x,y,-z'
'x,-y,z'
loop_
_atom_site_label
_atom_site_type_symbol
_atom_site_fract_x
_atom_site_fract_y
_atom_site_fract_z
Sb1 Sb 0.0000 0.0000 0.0000
Sb2 Sb 0.5000 0.5000 0.5000
Rh1 Rh 0.0000 0.0000 0.5000
Au1 Au 0.5000 0.5000 0.0000
```

Summary:
calculated total energy: -19.0 eV for the cell shown
crystal system: monoclinic
energy relative to the elements, uncorrected: -33 meV per atom
calculated volume: 21.2 Å³/atom

# MgZrNF2

An optimized crystal structure of MgZrNF2 (PBE, Alexandria).

```
data_MgZrNF2
_chemical_formula_sum 'Mg1 Zr1 N1 F2'
_cell_length_a 3.5588
_cell_length_b 3.5588
_cell_length_c 4.9009
_cell_angle_alpha 90.00
_cell_angle_beta 90.00
_cell_angle_gamma 90.00
_symmetry_space_group_name_H-M 'P 4/m m m'
_symmetry_Int_Tables_number 123
_symmetry_space_group_name_Hall '-P 4 2'
loop_
_atom_site_label
_atom_site_type_symbol
_atom_site_fract_x
_atom_site_fract_y
_atom_site_fract_z
Mg1 Mg 0.0000 0.0000 0.0000
Zr1 Zr 0.5000 0.5000 0.5000
N1 N 0.0000 0.0000 0.5000
F1 F 0.0000 0.5000 0.0000
```

Summary:
calculated total energy: -31.3 eV for the cell shown
crystal system: tetragonal
energy relative to the elements, uncorrected: -1822 meV per atom
energy relative to the lowest polymorph listed for this composition: 0.0000 eV/atom
calculated volume: 12.4 Å³/atom

# DyTh2Ir

An optimized crystal structure of DyTh2Ir (PBE, Alexandria).

```
data_DyTh2Ir
_chemical_formula_sum 'Dy3 Th6 Ir3'
_cell_length_a 3.8816
_cell_length_b 3.8816
_cell_length_c 30.8706
_cell_angle_alpha 90.00
_cell_angle_beta 90.00
_cell_angle_gamma 120.00
_symmetry_space_group_name_H-M 'R -3 m'
_symmetry_Int_Tables_number 166
_symmetry_space_group_name_Hall '-R 3 2"'
loop_
_atom_site_label
_atom_site_type_symbol
_atom_site_fract_x
_atom_site_fract_y
_atom_site_fract_z
Dy1 Dy 0.0000 0.0000 0.0000
Th1 Th 0.0000 0.0000 0.1110
Ir1 Ir 0.0000 0.0000 0.5000
```

Summary:
calculated total energy: -86.2 eV for the cell shown
crystal system: trigonal
energy relative to the lowest polymorph listed for this composition: 0.4004 eV/atom
calculated volume: 33.6 Å³/atom
E_form: -0.10 eV/atom

# Tl3ZnAs

An optimized crystal structure of Tl3ZnAs (PBE, Alexandria).

```
data_Tl3ZnAs
_chemical_formula_sum 'Tl3 Zn1 As1'
_cell_length_a 5.3052
_cell_length_b 5.3052
_cell_length_c 5.3052
_cell_angle_alpha 90.00
_cell_angle_beta 90.00
_cell_angle_gamma 90.00
_symmetry_space_group_name_H-M 'P m -3 m'
_symmetry_Int_Tables_number 221
_symmetry_space_group_name_Hall '-P 4 2 3'
loop_
_atom_site_label
_atom_site_type_symbol
_atom_site_fract_x
_atom_site_fract_y
_atom_site_fract_z
Tl1 Tl 0.0000 0.0000 0.5000
Zn1 Zn 0.0000 0.0000 0.0000
As1 As 0.5000 0.5000 0.5000
```

Summary:
calculated total energy: -11.1 eV for the cell shown
crystal system: cubic
energy relative to the lowest polymorph listed for this composition: 0.0000 eV/atom
calculated volume: 29.9 Å³/atom
E_form: 0.39 eV/atom

# Cs3HfI

An optimized crystal structure of Cs3HfI (PBE, Alexandria).

```
data_Cs3HfI
_chemical_formula_sum 'Cs3 Hf1 I1'
_cell_length_a 7.2551
_cell_length_b 7.2551
_cell_length_c 7.2551
_cell_angle_alpha 90.00
_cell_angle_beta 90.00
_cell_angle_gamma 90.00
_symmetry_space_group_name_H-M 'P m -3 m'
_symmetry_Int_Tables_number 221
_symmetry_space_group_name_Hall '-P 4 2 3'
loop_
_atom_site_label
_atom_site_type_symbol
_atom_site_fract_x
_atom_site_fract_y
_atom_site_fract_z
Cs1 Cs 0.0000 0.0000 0.5000
Hf1 Hf 0.5000 0.5000 0.5000
I1 I 0.0000 0.0000 0.0000
```

Summary:
calculated total energy: -11.6 eV for the cell shown
crystal system: cubic
energy relative to the elements, uncorrected: 494 meV per atom
energy relative to the lowest polymorph listed for this composition: 0.0000 eV/atom
calculated volume: 76.4 Å³/atom

# YMo2Se

An optimized crystal structure of YMo2Se (PBE, Alexandria).

```
data_YMo2Se
_chemical_formula_sum 'Y3 Mo6 Se3'
_cell_length_a 3.4460
_cell_length_b 3.4460
_cell_length_c 23.8859
_cell_angle_alpha 90.00
_cell_angle_beta 90.00
_cell_angle_gamma 120.00
_symmetry_space_group_name_H-M 'R 3 m'
_symmetry_Int_Tables_number 160
_symmetry_space_group_name_Hall 'R 3 -2"'
loop_
_atom_site_label
_atom_site_type_symbol
_atom_site_fract_x
_atom_site_fract_y
_atom_site_fract_z
Y1 Y 0.0000 0.0000 0.0000
Mo1 Mo 0.0000 0.0000 0.4998
Mo2 Mo 0.0000 0.0000 0.7652
Se1 Se 0.0000 0.0000 0.2439
```

Summary:
calculated total energy: -94.8 eV for the cell shown
crystal system: trigonal
energy relative to the elements, uncorrected: 3 meV per atom
calculated volume: 20.5 Å³/atom